#1
{"formula": "Zr4Zn", "functional": "PBE", "state": "relaxed", "cell": [[5.009, 0.000, 0.000], [0.000, 5.009, 0.000], [0.000, 0.000, 5.009]], "species": ["Zr", "Zr", "Zr", "Zr", "Zn"], "frac_coords": [[0.000, 0.000, 0.000], [0.500, 0.000, 0.500], [0.000, 0.500, 0.500], [0.500, 0.500, 0.000], [0.500, 0.500, 0.500]], "rho_g_cm3": 5.68, "dos_at_fermi_per_ev_cell": 8.26, "spacegroup": "Pm-3m, No. 221"}

#2
{"formula": "Zr4Zn", "functional": "PBE", "state": "relaxed", "cell": [[-6.535, 3.933, 1.827], [-5.878, 3.545, -3.793], [4.743, -6.168, 0.980]], "species": ["Zr", "Zr", "Zr", "Zr", "Zn"], "frac_coords": [[0.750, 0.250, 0.500], [0.250, 0.750, 0.500], [0.588, 0.588, 0.000], [0.412, 0.412, 0.000], [0.000, 0.000, 0.000]], "rho_g_cm3": 6.08, "dos_at_fermi_per_ev_cell": 5.23, "spacegroup": "I4/mmm, No. 139"}

Result of the stability comparison: #1 is the least stable of them.

#1
{"formula": "Zr4Zn", "functional": "PBE", "state": "relaxed", "cell": [[7.417, 0.336, 0.000], [2.936, 4.524, 0.000], [3.708, 0.168, 6.754]], "species": ["Zr", "Zr", "Zr", "Zr", "Zr", "Zr", "Zr", "Zr", "Zn", "Zn"], "frac_coords": [[0.573, 0.127, 0.578], [0.664, 0.386, 0.124], [0.336, 0.614, 0.876], [0.151, 0.627, 0.422], [0.788, 0.886, 0.876], [0.849, 0.373, 0.578], [0.212, 0.114, 0.124], [0.427, 0.873, 0.422], [0.105, 0.250, 0.790], [0.895, 0.750, 0.210]], "rho_g_cm3": 6.50, "dos_at_fermi_per_ev_cell": 11.21, "spacegroup": "C2/c, No. 15"}

#2
{"formula": "Zr4Zn", "functional": "PBE", "state": "relaxed", "cell": [[-1.382, -4.046, -2.233], [5.667, -0.872, -1.926], [-0.680, -1.373, 8.118]], "species": ["Zn", "Zn", "Zr", "Zr", "Zr", "Zr", "Zr", "Zr", "Zr", "Zr"], "frac_coords": [[0.111, 0.861, 0.222], [0.889, 0.139, 0.778], [0.500, 0.000, 0.000], [0.500, 0.500, 0.000], [0.297, 0.797, 0.595], [0.297, 0.298, 0.595], [0.097, 0.347, 0.195], [0.903, 0.653, 0.805], [0.703, 0.702, 0.405], [0.703, 0.203, 0.405]], "rho_g_cm3": 6.71, "dos_at_fermi_per_ev_cell": 14.36, "spacegroup": "Imma, No. 74"}

Result of the stability comparison: #2 is the least stable of them.

#1
{"formula": "Zr4Zn", "functional": "PBE", "state": "relaxed", "cell": [[4.349, 0.000, 0.000], [2.174, 4.971, 0.000], [-2.174, 0.000, 4.971]], "species": ["Zr", "Zr", "Zr", "Zr", "Zn"], "frac_coords": [[0.614, 0.580, 0.808], [0.386, 0.420, 0.192], [0.806, 0.808, 0.420], [0.194, 0.192, 0.580], [0.000, 0.000, 0.000]], "rho_g_cm3": 6.65, "dos_at_fermi_per_ev_cell": 6.37, "spacegroup": "I4/m, No. 87"}

#2
{"formula": "Zr4Zn", "functional": "PBE", "state": "relaxed", "cell": [[-4.244, 4.672, 3.250], [-3.238, 5.073, -3.766], [-7.021, -0.272, -1.022]], "species": ["Zr", "Zr", "Zr", "Zr", "Zr", "Zr", "Zr", "Zr", "Zn", "Zn"], "frac_coords": [[0.355, 0.355, 0.934], [0.895, 0.895, 0.895], [0.316, 0.895, 0.895], [0.934, 0.355, 0.355], [0.355, 0.934, 0.355], [0.895, 0.316, 0.895], [0.355, 0.355, 0.355], [0.895, 0.895, 0.316], [0.500, 0.500, 0.500], [0.750, 0.750, 0.750]], "rho_g_cm3": 5.65, "dos_at_fermi_per_ev_cell": 10.31, "spacegroup": "Fd-3m, No. 227"}

Result of the stability comparison: #2 is the least stable of them.

#1
{"formula": "Zr3Zn5", "functional": "PBE", "state": "relaxed", "cell": [[-0.031, 0.452, -3.014], [-2.579, -1.610, -0.215], [-8.159, 12.806, 2.006]], "species": ["Zn", "Zn", "Zn", "Zn", "Zn", "Zr", "Zr", "Zr"], "frac_coords": [[0.000, 0.000, 0.238], [0.000, 0.000, 0.500], [0.500, 0.500, 0.133], [0.500, 0.500, 0.602], [0.000, 0.000, 0.028], [0.500, 0.500, 0.370], [0.500, 0.500, 0.892], [0.000, 0.000, 0.738]], "rho_g_cm3": 7.01, "dos_at_fermi_per_ev_cell": 4.77, "spacegroup": "P4mm, No. 99"}

#2
{"formula": "Zr3Zn5", "functional": "PBE", "state": "relaxed", "cell": [[5.633, -0.118, 0.000], [-1.360, 5.467, 0.000], [0.000, 0.000, 9.303]], "species": ["Zn", "Zn", "Zn", "Zn", "Zn", "Zn", "Zn", "Zn", "Zn", "Zn", "Zr", "Zr", "Zr", "Zr", "Zr", "Zr"], "frac_coords": [[0.507, 0.083, 0.750], [0.493, 0.917, 0.250], [0.083, 0.507, 0.750], [0.964, 0.964, 0.250], [0.917, 0.493, 0.250], [0.319, 0.319, 0.953], [0.319, 0.319, 0.547], [0.681, 0.681, 0.453], [0.681, 0.681, 0.047], [0.036, 0.036, 0.750], [0.637, 0.637, 0.750], [0.203, 0.797, 0.500], [0.797, 0.203, 0.500], [0.363, 0.363, 0.250], [0.203, 0.797, 0.000], [0.797, 0.203, 0.000]], "rho_g_cm3": 7.00, "dos_at_fermi_per_ev_cell": 11.50, "spacegroup": "Cmcm, No. 63"}

Result of the stability comparison: #1 is the least stable of them.

#1
{"formula": "Zr3Zn5", "functional": "PBE", "state": "relaxed", "cell": [[-7.031, 1.068, -3.512], [6.573, -4.419, -0.421], [-2.846, -3.334, 6.605]], "species": ["Zn", "Zn", "Zn", "Zn", "Zn", "Zn", "Zn", "Zn", "Zn", "Zn", "Zr", "Zr", "Zr", "Zr", "Zr", "Zr"], "frac_coords": [[0.249, 0.750, 0.500], [0.074, 0.244, 0.318], [0.574, 0.255, 0.830], [0.755, 0.074, 0.831], [0.425, 0.744, 0.169], [0.749, 0.250, 0.500], [0.244, 0.926, 0.170], [0.925, 0.756, 0.681], [0.256, 0.426, 0.682], [0.744, 0.575, 0.319], [0.825, 0.326, 0.152], [0.750, 0.750, 0.000], [0.173, 0.674, 0.848], [0.674, 0.826, 0.500], [0.250, 0.250, 0.000], [0.326, 0.174, 0.500]], "rho_g_cm3": 6.85, "dos_at_fermi_per_ev_cell": 9.09, "spacegroup": "C2/m, No. 12"}

#2
{"formula": "Zr3Zn5", "functional": "PBE", "state": "relaxed", "cell": [[-1.436, 2.578, 9.682], [1.436, -2.578, 9.682], [1.436, 2.578, -9.682]], "species": ["Zr", "Zr", "Zr", "Zn", "Zn", "Zn", "Zn", "Zn"], "frac_coords": [[0.354, 0.376, 0.978], [0.902, 0.500, 0.402], [0.603, 0.624, 0.978], [0.391, 0.000, 0.391], [0.903, 0.251, 0.651], [0.400, 0.749, 0.651], [0.842, 0.864, 0.978], [0.114, 0.136, 0.978]], "rho_g_cm3": 6.96, "dos_at_fermi_per_ev_cell": 5.32, "spacegroup": "Imm2, No. 44"}

#3
{"formula": "Zr3Zn5", "functional": "PBE", "state": "relaxed", "cell": [[-3.027, -2.838, -1.746], [3.656, -1.265, -4.282], [3.561, -4.663, 1.407]], "species": ["Zr", "Zr", "Zr", "Zn", "Zn", "Zn", "Zn", "Zn"], "frac_coords": [[0.000, 0.000, 0.500], [0.500, 0.790, 0.265], [0.500, 0.210, 0.735], [0.500, 0.690, 0.788], [0.000, 0.759, 0.004], [0.000, 0.500, 0.500], [0.500, 0.310, 0.212], [0.000, 0.241, 0.996]], "rho_g_cm3": 6.85, "dos_at_fermi_per_ev_cell": 6.56, "spacegroup": "P2/m, No. 10"}

#4
{"formula": "Zr3Zn5", "functional": "PBE", "state": "relaxed", "cell": [[-2.453, 1.507, -3.236], [0.648, -5.546, -3.074], [-3.975, -4.162, 1.076]], "species": ["Zn", "Zn", "Zn", "Zn", "Zn", "Zr", "Zr", "Zr"], "frac_coords": [[0.000, 0.019, 0.977], [0.500, 0.784, 0.907], [0.500, 0.250, 0.582], [0.500, 0.717, 0.439], [0.000, 0.480, 0.745], [0.000, 0.975, 0.518], [0.000, 0.525, 0.241], [0.500, 0.250, 0.090]], "rho_g_cm3": 6.95, "dos_at_fermi_per_ev_cell": 4.17, "spacegroup": "Pm, No. 6"}

Result of the stability comparison: #1 is the least stable of them.

#1
{"formula": "Zr3Zn5", "functional": "PBE", "state": "relaxed", "cell": [[1.427, -7.619, -5.091], [3.804, -7.868, -3.102], [-2.921, -2.628, 3.161]], "species": ["Zn", "Zn", "Zn", "Zn", "Zn", "Zr", "Zr", "Zr"], "frac_coords": [[0.368, 0.368, 0.393], [0.756, 0.756, 0.281], [0.244, 0.244, 0.719], [0.500, 0.500, 0.000], [0.632, 0.632, 0.607], [0.131, 0.131, 0.107], [0.869, 0.869, 0.893], [0.000, 0.000, 0.500]], "rho_g_cm3": 6.96, "dos_at_fermi_per_ev_cell": 4.24, "spacegroup": "C2/m, No. 12"}

#2
{"formula": "Zr3Zn5", "functional": "PBE", "state": "relaxed", "cell": [[7.695, -0.022, 0.000], [5.104, 5.759, 0.000], [-6.399, -2.869, 3.168]], "species": ["Zn", "Zn", "Zn", "Zn", "Zn", "Zr", "Zr", "Zr"], "frac_coords": [[0.993, 0.993, 0.000], [0.493, 0.493, 0.000], [0.757, 0.757, 0.000], [0.375, 0.875, 0.500], [0.257, 0.257, 0.000], [0.620, 0.120, 0.500], [0.875, 0.375, 0.500], [0.130, 0.630, 0.500]], "rho_g_cm3": 7.09, "dos_at_fermi_per_ev_cell": 2.65, "spacegroup": "I4/mmm, No. 139"}

#3
{"formula": "Zr3Zn5", "functional": "PBE", "state": "relaxed", "cell": [[8.080, 0.000, 0.000], [4.045, 6.994, 0.000], [0.000, 0.000, 5.373]], "species": ["Zn", "Zn", "Zn", "Zn", "Zn", "Zn", "Zn", "Zn", "Zn", "Zn", "Zr", "Zr", "Zr", "Zr", "Zr", "Zr"], "frac_coords": [[0.000, 0.214, 0.750], [0.000, 0.786, 0.250], [0.667, 0.667, 0.500], [0.667, 0.667, 0.000], [0.214, 0.786, 0.750], [0.786, 0.000, 0.750], [0.333, 0.333, 0.000], [0.214, 0.000, 0.250], [0.333, 0.333, 0.500], [0.786, 0.214, 0.250], [0.590, 0.000, 0.250], [0.000, 0.590, 0.750], [0.000, 0.410, 0.250], [0.410, 0.000, 0.750], [0.411, 0.589, 0.250], [0.589, 0.411, 0.750]], "rho_g_cm3": 6.57, "dos_at_fermi_per_ev_cell": 14.19, "spacegroup": "P6_3/mcm, No. 193"}

#4
{"formula": "Zr3Zn5", "functional": "PBE", "state": "relaxed", "cell": [[5.745, 0.035, 0.000], [1.590, 5.521, 0.000], [0.000, 0.000, 4.508]], "species": ["Zr", "Zr", "Zr", "Zn", "Zn", "Zn", "Zn", "Zn"], "frac_coords": [[0.770, 0.770, 0.500], [0.500, 0.500, 0.000], [0.230, 0.230, 0.500], [0.264, 0.736, 0.500], [0.500, 0.000, 0.000], [0.000, 0.000, 0.000], [0.736, 0.264, 0.500], [0.000, 0.500, 0.000]], "rho_g_cm3": 6.99, "dos_at_fermi_per_ev_cell": 3.65, "spacegroup": "Cmmm, No. 65"}

Result of the stability comparison: #3 is the least stable of them.

#1
{"formula": "Zr7Zn", "functional": "PBE", "state": "relaxed", "cell": [[4.449, 0.000, 0.000], [0.000, 4.451, 0.000], [0.000, 0.000, 8.919]], "species": ["Zr", "Zr", "Zr", "Zr", "Zr", "Zr", "Zr", "Zn"], "frac_coords": [[0.000, 0.500, 0.757], [0.000, 0.500, 0.243], [0.500, 0.000, 0.757], [0.000, 0.000, 0.500], [0.500, 0.000, 0.243], [0.500, 0.500, 0.000], [0.500, 0.500, 0.500], [0.000, 0.000, 0.000]], "rho_g_cm3": 6.62, "dos_at_fermi_per_ev_cell": 8.40, "spacegroup": "P4/mmm, No. 123"}

#2
{"formula": "Zr7Zn", "functional": "PBE", "state": "relaxed", "cell": [[-3.243, 5.344, 0.878], [-5.723, 0.678, -2.576], [-5.133, 0.010, 3.673]], "species": ["Zr", "Zr", "Zr", "Zr", "Zr", "Zr", "Zr", "Zn"], "frac_coords": [[0.000, 0.500, 0.500], [0.500, 0.000, 0.500], [0.500, 0.500, 0.500], [0.000, 0.500, 0.000], [0.500, 0.000, 0.000], [0.000, 0.000, 0.500], [0.500, 0.500, 0.000], [0.000, 0.000, 0.000]], "rho_g_cm3": 6.57, "dos_at_fermi_per_ev_cell": 15.37, "spacegroup": "Fm-3m, No. 225"}

Result of the stability comparison: #2 is the least stable of them.